## Re2RuBr (GGA-PBE)

Data for crystalline Re2RuBr at its relaxed geometry.

ρ in g cm⁻³: 14.60
Crystal system: orthorhombic
M_tot in μB/atom: 0.0000
E_tot in eV/cell: -31.03

a b c (Å): 4.4713 4.4649 4.4580
angles (deg): 60.15 60.00 59.85
With the nearest neighbours (Å) after each atom.
Element x y z (fractional)
Re: 0.0000 0.0000 0.0000  4 Ru 2.73, 4 Re 2.73
Re: 0.2500 0.2500 0.2500  4 Br 2.73, 4 Re 2.73
Ru: 0.7500 0.7500 0.7500  4 Re 2.73, 4 Br 2.73
Br: 0.5000 0.5000 0.5000  4 Ru 2.73, 4 Re 2.73